--- 1 ---
Computed, not measured: crystalline Pm3Pr2Y5 at its relaxed geometry at the GGA-PBE level of DFT.

```
Pm3Pr2Y5
1.0
8.801 -1.445 -2.685
-2.726 8.441 -2.819
-0.319 -0.231 9.905
Pm Pr Y
6 4 10
direct
0.274 0.024 0.048 Pm
0.726 0.976 0.952 Pm
0.526 0.479 0.252 Pm
0.474 0.521 0.748 Pm
0.225 0.773 0.252 Pm
0.775 0.227 0.748 Pm
0.979 0.022 0.748 Pr
0.021 0.978 0.252 Pr
0.269 0.726 0.748 Pr
0.731 0.274 0.252 Pr
0.227 0.477 0.953 Y
0.773 0.523 0.047 Y
0.974 0.724 0.447 Y
0.474 0.224 0.448 Y
0.026 0.276 0.553 Y
0.526 0.776 0.552 Y
0.866 0.620 0.741 Y
0.134 0.380 0.259 Y
0.375 0.120 0.741 Y
0.625 0.880 0.259 Y
```

Calculated values
* space group: C2/c
* crystal system: monoclinic
* M_tot: 0.000 μB per atom

--- 2 ---
Computed, not measured: crystalline Pm3Pr2Y5 at its relaxed geometry at the GGA-PBE level of DFT.

```
Pm3Pr2Y5
1.0
6.920 0.000 0.000
3.460 11.652 2.922
3.460 5.909 10.459
Pm Pr Y
6 4 10
direct
0.250 0.000 0.000 Pm
0.750 0.000 0.000 Pm
0.371 0.381 0.876 Pm
0.629 0.619 0.124 Pm
0.871 0.876 0.381 Pm
0.129 0.124 0.619 Pm
0.122 0.775 0.981 Pr
0.878 0.225 0.019 Pr
0.622 0.981 0.775 Pr
0.378 0.019 0.225 Pr
0.250 0.500 0.500 Y
0.750 0.500 0.500 Y
0.498 0.752 0.752 Y
0.002 0.248 0.248 Y
0.502 0.248 0.248 Y
0.998 0.752 0.752 Y
0.128 0.460 0.285 Y
0.872 0.540 0.715 Y
0.628 0.285 0.460 Y
0.372 0.715 0.540 Y
```

Calculated values
* space group: Ibam
* crystal system: orthorhombic
* M_tot: 0.000 μB per atom

1 (221 meV per atom below the next structure)

--- 1 ---
Computed, not measured: crystalline Pm7Pr12Y at its relaxed geometry at the GGA-PBE level of DFT.

```
Pm7Pr12Y
1.0
8.702 1.202 1.804
-1.265 8.693 1.804
-1.265 -1.683 8.717
Pm Pr Y
7 12 1
direct
0.853 0.610 0.928 Pm
0.390 0.072 0.147 Pm
0.072 0.147 0.390 Pm
0.500 0.500 0.500 Pm
0.928 0.853 0.610 Pm
0.610 0.928 0.853 Pm
0.147 0.390 0.072 Pm
0.855 0.257 0.724 Pr
0.743 0.276 0.145 Pr
0.614 0.139 0.490 Pr
0.861 0.510 0.386 Pr
0.276 0.145 0.743 Pr
0.510 0.386 0.861 Pr
0.490 0.614 0.139 Pr
0.724 0.855 0.257 Pr
0.139 0.490 0.614 Pr
0.386 0.861 0.510 Pr
0.257 0.724 0.855 Pr
0.145 0.743 0.276 Pr
0.000 0.000 0.000 Y
```

Calculated values
* space group: R-3
* crystal system: trigonal
* M_tot: 0.000 μB per atom

--- 2 ---
Computed, not measured: crystalline Pm7Pr12Y at its relaxed geometry at the GGA-PBE level of DFT.

```
Pm7Pr12Y
1.0
-6.318 -1.226 -2.753
0.373 -7.459 8.401
-6.788 2.097 8.711
Pm Pr Y
7 12 1
direct
0.783 0.162 0.143 Pm
0.075 0.857 0.305 Pm
0.379 0.305 0.838 Pm
0.500 0.000 0.000 Pm
0.621 0.695 0.162 Pm
0.925 0.143 0.695 Pm
0.217 0.838 0.857 Pm
0.729 0.477 0.068 Pr
0.203 0.932 0.545 Pr
0.289 0.213 0.213 Pr
0.499 0.787 0.426 Pr
0.748 0.545 0.523 Pr
0.925 0.426 0.787 Pr
0.075 0.574 0.213 Pr
0.252 0.455 0.477 Pr
0.501 0.213 0.574 Pr
0.711 0.787 0.787 Pr
0.797 0.068 0.455 Pr
0.271 0.523 0.932 Pr
0.000 0.000 0.000 Y
```

Calculated values
* space group: R-3
* crystal system: trigonal
* M_tot: 0.000 μB per atom

1 (50 meV per atom below the next structure)

--- 1 ---
Computed, not measured: crystalline Pm2Pr3Y3 at its relaxed geometry at the GGA-PBE level of DFT.

```
Pm2Pr3Y3
1.0
5.147 0.000 0.000
0.000 5.167 0.000
-2.573 -2.584 10.300
Pm Pr Y
2 3 3
direct
0.750 0.250 0.501 Pm
0.250 0.750 0.499 Pm
0.124 0.124 0.249 Pr
0.000 0.500 0.000 Pr
0.876 0.876 0.751 Pr
0.625 0.625 0.251 Y
0.375 0.375 0.749 Y
0.500 0.000 0.000 Y
```

Calculated values
* space group: Immm
* crystal system: orthorhombic
* M_tot: 0.000 μB per atom

--- 2 ---
Computed, not measured: crystalline Pm2Pr3Y3 at its relaxed geometry at the GGA-PBE level of DFT.

```
Pm2Pr3Y3
1.0
-1.407 2.202 -5.254
-2.713 -5.275 -1.484
-4.688 3.974 6.198
Pm Pr Y
2 3 3
direct
0.750 0.817 0.499 Pm
0.250 0.183 0.501 Pm
0.365 0.807 0.730 Pr
0.500 0.500 0.000 Pr
0.635 0.193 0.270 Pr
0.870 0.418 0.739 Y
0.130 0.582 0.261 Y
0.000 0.000 0.000 Y
```

Calculated values
* space group: C2/m
* crystal system: monoclinic
* M_tot: 0.000 μB per atom

1 (68 meV per atom below the next structure)

--- 1 ---
Computed, not measured: crystalline Pm7PrY12 at its relaxed geometry at the GGA-PBE level of DFT.

```
Pm7PrY12
1.0
8.695 0.752 1.129
-1.695 8.562 1.129
-1.695 -2.256 8.336
Pm Pr Y
7 1 12
direct
0.915 0.644 0.981 Pm
0.356 0.019 0.085 Pm
0.019 0.085 0.356 Pm
0.500 0.500 0.500 Pm
0.981 0.915 0.644 Pm
0.644 0.981 0.915 Pm
0.085 0.356 0.019 Pm
0.000 0.000 0.000 Pr
0.814 0.251 0.682 Y
0.749 0.318 0.186 Y
0.481 0.148 0.416 Y
0.852 0.584 0.519 Y
0.318 0.186 0.749 Y
0.584 0.519 0.852 Y
0.416 0.481 0.148 Y
0.682 0.814 0.251 Y
0.148 0.416 0.481 Y
0.519 0.852 0.584 Y
0.251 0.682 0.814 Y
0.186 0.749 0.318 Y
```

Calculated values
* space group: R-3
* crystal system: trigonal
* M_tot: 0.000 μB per atom

--- 2 ---
Computed, not measured: crystalline Pm7PrY12 at its relaxed geometry at the GGA-PBE level of DFT.

```
Pm7PrY12
1.0
-7.354 3.387 -5.572
7.638 -2.340 -5.725
-3.000 -7.984 4.885
Pm Pr Y
7 1 12
direct
0.500 0.500 0.000 Pm
0.000 0.500 0.500 Pm
0.500 0.000 0.500 Pm
0.500 0.500 0.500 Pm
0.000 0.000 0.500 Pm
0.500 0.000 0.000 Pm
0.000 0.500 0.000 Pm
0.000 0.000 0.000 Pr
0.498 0.749 0.749 Y
0.000 0.749 0.251 Y
0.502 0.251 0.251 Y
0.000 0.251 0.749 Y
0.749 0.000 0.251 Y
0.749 0.498 0.749 Y
0.251 0.000 0.749 Y
0.251 0.502 0.251 Y
0.749 0.749 0.498 Y
0.251 0.251 0.502 Y
0.749 0.251 0.000 Y
0.251 0.749 0.000 Y
```

Calculated values
* space group: Im-3m
* crystal system: cubic
* M_tot: 0.000 μB per atom

1 (354 meV per atom below the next structure)